The following is a SCAN calculation of a PBEsol-optimized structure of Ce3SiS2, from the Alexandria database.

Structure (POSCAR):
```
Ce3SiS2
1.0
4.029 0.000 0.000
0.000 5.675 0.000
0.000 0.000 12.046
Ce Si S
6 2 4
Direct
0.000 0.000 0.000 Ce
0.000 0.000 0.329 Ce
0.000 0.000 0.671 Ce
0.500 0.500 0.171 Ce
0.500 0.500 0.500 Ce
0.500 0.500 0.829 Ce
0.000 0.500 0.000 Si
0.500 0.000 0.500 Si
0.000 0.500 0.335 S
0.000 0.500 0.665 S
0.500 0.000 0.165 S
0.500 0.000 0.835 S
```

Output
- DOS at the Fermi energy: 7.74 states/eV/f.u.
- SG: Immm (71)
- Raw formation energy: -982.1 kJ/mol of formula units